Entry 1:
Density functional theory data (PBEsol) for a relaxed structure of SrSb2Ir.

Cell and atoms, written as POSCAR:
```
SrSb2Ir
1.0
-1.7376 2.8594 5.0442
1.7376 -2.8594 5.0442
1.7376 2.8594 -5.0442
Sr Sb Ir
1 2 1
Cartesian
0.0000 0.0000 0.0000 Sr
1.7376 0.0000 3.0613 Sb
0.0000 2.8594 1.9828 Sb
0.0000 0.0000 5.0442 Ir
```

Values from the calculation:
Its symmetry is No. 71. The formation energy (no corrections) is -1.25 eV per formula unit. For the volume, the calculation gives 100.2 Å³/cell. Its raw total energy is -5.508 eV per atom.

***

Entry 2:
Density functional theory data (PBEsol) for a relaxed structure of YAl2ZnF.

Cell and atoms, written as POSCAR:
```
YAl2ZnF
1.0
4.4100 0.0000 0.0000
0.0000 4.4100 0.0000
0.0000 0.0000 4.6160
Y Al Zn F
1 2 1 1
Cartesian
0.0000 0.0000 0.0000 Y
0.0000 2.2050 2.3080 Al
2.2050 0.0000 2.3080 Al
2.2050 2.2050 0.0000 Zn
0.0000 0.0000 2.3080 F
```

Values from the calculation:
Its symmetry is No. 123. The formation energy (no corrections) is -3.20 eV per formula unit. For the volume, the calculation gives 89.8 Å³/cell. Its raw total energy is -4.342 eV per atom.

***

Entry 3:
Density functional theory data (PBEsol) for a relaxed structure of Pr2In8Pd.

Cell and atoms, written as POSCAR:
```
Pr2In8Pd
1.0
4.6619 0.0000 0.0000
0.0000 4.6619 0.0000
0.0000 0.0000 12.1079
Pr In Pd
2 8 1
Cartesian
0.0000 0.0000 2.3071 Pr
0.0000 0.0000 9.8008 Pr
0.0000 2.3309 0.0000 In
0.0000 2.3309 4.5617 In
0.0000 2.3309 7.5463 In
2.3309 0.0000 0.0000 In
2.3309 0.0000 4.5617 In
2.3309 0.0000 7.5463 In
2.3309 2.3309 2.3238 In
2.3309 2.3309 9.7842 In
0.0000 0.0000 6.0540 Pd
```

Values from the calculation:
Its symmetry is No. 123. For the volume, the calculation gives 263.1 Å³/cell. Its raw total energy is -4.163 eV per atom.

***

Entry 4:
Density functional theory data (PBEsol) for a relaxed structure of MgBrO2.

Cell and atoms, written as POSCAR:
```
MgBrO2
1.0
1.5726 0.9079 5.9908
-1.5726 0.9079 5.9908
0.0000 -1.8159 5.9908
Mg Br O
1 1 2
Cartesian
0.0000 0.0000 0.0000 Mg
0.0000 0.0000 8.9862 Br
0.0000 0.0000 7.0526 O
0.0000 0.0000 10.9198 O
```

Values from the calculation:
Its symmetry is No. 166. The formation energy (no corrections) is -5.10 eV per formula unit. For the volume, the calculation gives 51.3 Å³/cell. Its raw total energy is -4.796 eV per atom.

***

Entry 5:
Density functional theory data (PBEsol) for a relaxed structure of Tc4Mo.

Cell and atoms, written as POSCAR:
```
Tc4Mo
1.0
-1.8999 1.8999 5.5000
1.8999 -1.8999 5.5000
1.8999 1.8999 -5.5000
Tc Mo
4 1
Cartesian
0.0000 0.0000 1.1350 Tc
1.8999 0.0000 2.7500 Tc
0.0000 1.8999 2.7500 Tc
0.0000 0.0000 9.8650 Tc
0.0000 0.0000 5.5000 Mo
```

Values from the calculation:
Its symmetry is No. 139. For the volume, the calculation gives 79.4 Å³/cell. Its raw total energy is -10.649 eV per atom.

***

Entry 6:
Density functional theory data (PBEsol) for a relaxed structure of AlTlF4.

Cell and atoms, written as POSCAR:
```
AlTlF4
1.0
3.6424 0.0000 0.0000
0.0000 3.6424 0.0000
0.0000 0.0000 6.3127
Al Tl F
1 1 4
Cartesian
0.0000 0.0000 0.0000 Al
1.8212 1.8212 3.1563 Tl
0.0000 0.0000 1.7845 F
0.0000 0.0000 4.5281 F
0.0000 1.8212 0.0000 F
1.8212 0.0000 0.0000 F
```

Values from the calculation:
Its symmetry is No. 123. The formation energy (no corrections) is -17.94 eV per formula unit. For the volume, the calculation gives 83.8 Å³/cell. Its raw total energy is -5.395 eV per atom.

***

Entry 7:
Density functional theory data (PBEsol) for a relaxed structure of BePbBr2.

Cell and atoms, written as POSCAR:
```
BePbBr2
1.0
3.2186 -4.0626 0.0000
3.2186 4.0626 0.0000
-3.2100 0.0000 4.0656
Be Pb Br
1 1 2
Cartesian
0.0000 0.0000 0.0000 Be
3.2186 0.0000 0.0000 Pb
0.0043 2.0313 2.0328 Br
0.0043 -2.0313 2.0328 Br
```

Values from the calculation:
Its symmetry is No. 12. The formation energy (no corrections) is 0.63 eV per formula unit. For the volume, the calculation gives 106.3 Å³/cell. Its raw total energy is -2.778 eV per atom.

***

Entry 8:
Density functional theory data (PBEsol) for a relaxed structure of Li4Nb3Cr2Fe3O16.

Cell and atoms, written as POSCAR:
```
Li4Nb3Cr2Fe3O16
1.0
4.9265 -2.8809 0.0000
4.9265 2.8809 0.0000
-0.0901 0.0000 9.5606
Li Nb Cr Fe O
4 3 2 3 16
Cartesian
0.0000 0.0000 0.0000 Li
2.2241 0.0000 0.8533 Li
5.3121 0.0000 5.4166 Li
8.7927 0.0000 4.4218 Li
2.8010 1.4161 7.2133 Nb
2.8010 -1.4161 7.2133 Nb
6.8888 0.0000 2.3496 Nb
2.1061 0.0000 4.4706 Cr
5.2450 0.0000 9.3600 Cr
0.6346 0.0000 7.1381 Fe
4.6427 1.3728 2.3891 Fe
4.6427 -1.3728 2.3891 Fe
0.4654 0.0000 3.3472 O
2.9486 1.4328 3.4194 O
2.0280 0.0000 8.4798 O
4.5714 1.4764 8.2082 O
6.2448 1.6046 5.8373 O
3.5248 0.0000 5.8983 O
6.0671 1.3555 1.0640 O
3.9846 0.0000 1.2439 O
5.3072 0.0000 3.5600 O
2.9486 -1.4328 3.4194 O
6.8234 0.0000 8.2617 O
4.5714 -1.4764 8.2082 O
6.0671 -1.3555 1.0640 O
8.7548 0.0000 1.4749 O
8.7848 0.0000 6.2185 O
6.2448 -1.6046 5.8373 O
```

Values from the calculation:
Its symmetry is No. 8. The formation energy (no corrections) is -55.23 eV per formula unit. For the volume, the calculation gives 271.4 Å³/cell. Its raw total energy is -8.104 eV per atom.

***

Entry 9:
Density functional theory data (PBEsol) for a relaxed structure of Y2NiCl.

Cell and atoms, written as POSCAR:
```
Y2NiCl
1.0
3.8407 0.0000 0.0000
0.0000 3.8407 0.0000
0.0000 0.0000 5.6104
Y Ni Cl
2 1 1
Cartesian
0.0000 0.0000 0.0000 Y
1.9204 1.9204 2.8052 Y
0.0000 0.0000 2.8052 Ni
1.9204 1.9204 0.0000 Cl
```

Values from the calculation:
Its symmetry is No. 123. The formation energy (no corrections) is -3.47 eV per formula unit. For the volume, the calculation gives 82.8 Å³/cell. Its raw total energy is -6.319 eV per atom.

***

Entry 10:
Density functional theory data (PBEsol) for a relaxed structure of ZnCuPt2C.

Cell and atoms, written as POSCAR:
```
ZnCuPt2C
1.0
4.6925 0.0000 0.0000
0.0000 4.6925 0.0000
0.0000 0.0000 3.4803
Zn Cu Pt C
1 1 2 1
Cartesian
0.0000 0.0000 0.0000 Zn
2.3463 2.3463 1.7401 Cu
0.0000 2.3463 0.0000 Pt
2.3463 0.0000 0.0000 Pt
0.0000 0.0000 1.7401 C
```

Values from the calculation:
Its symmetry is No. 123. For the volume, the calculation gives 76.6 Å³/cell. Its raw total energy is -4.336 eV per atom.

***

Entry 11:
Density functional theory data (PBEsol) for a relaxed structure of As2OsSeF.

Cell and atoms, written as POSCAR:
```
As2OsSeF
1.0
4.2212 0.0000 0.0000
0.0000 4.2212 0.0000
0.0000 0.0000 4.5919
As Os Se F
2 1 1 1
Cartesian
0.0000 2.1106 0.0000 As
2.1106 0.0000 0.0000 As
0.0000 0.0000 2.2959 Os
2.1106 2.1106 2.2959 Se
2.1106 2.1106 0.0000 F
```

Values from the calculation:
Its symmetry is No. 123. The formation energy (no corrections) is 4.27 eV per formula unit. For the volume, the calculation gives 81.8 Å³/cell. Its raw total energy is -4.788 eV per atom.

***

Entry 12:
Density functional theory data (PBEsol) for a relaxed structure of MnIN2.

Cell and atoms, written as POSCAR:
```
MnIN2
1.0
0.0000 3.9445 3.9445
3.9445 0.0000 3.9445
3.9445 3.9445 0.0000
Mn I N
2 2 4
Cartesian
0.9861 0.9861 0.9861 Mn
6.9029 6.9029 6.9029 Mn
2.9584 2.9584 2.9584 I
4.9306 4.9306 4.9306 I
0.0000 0.0000 0.0000 N
1.9723 1.9723 0.0000 N
1.9723 0.0000 1.9723 N
0.0000 1.9723 1.9723 N
```

Values from the calculation:
Its symmetry is No. 227. The formation energy (no corrections) is 1.53 eV per formula unit. For the volume, the calculation gives 122.7 Å³/cell. Its raw total energy is -6.762 eV per atom.

***

Entry 13:
Density functional theory data (PBEsol) for a relaxed structure of TlHgCl.

Cell and atoms, written as POSCAR:
```
TlHgCl
1.0
-1.8773 1.8773 5.7751
1.8773 -1.8773 5.7751
1.8773 1.8773 -5.7751
Tl Hg Cl
1 1 1
Cartesian
0.0000 0.0000 0.0000 Tl
0.0000 0.0000 7.9425 Hg
0.0000 0.0000 4.2453 Cl
```

Values from the calculation:
Its symmetry is No. 107. The formation energy (no corrections) is -1.49 eV per formula unit. For the volume, the calculation gives 81.4 Å³/cell. Its raw total energy is -2.232 eV per atom.

***

Entry 14:
Density functional theory data (PBEsol) for a relaxed structure of ScGaO3.

Cell and atoms, written as POSCAR:
```
ScGaO3
1.0
3.2880 0.0000 0.0000
-1.6440 2.8475 0.0000
0.0000 0.0000 11.7320
Sc Ga O
2 2 6
Cartesian
0.0000 0.0000 0.0000 Sc
0.0000 0.0000 5.8660 Sc
0.0000 1.8984 2.9330 Ga
1.6440 0.9492 8.7990 Ga
0.0000 0.0000 2.9330 O
0.0000 0.0000 8.7990 O
0.0000 1.8984 0.9806 O
0.0000 1.8984 4.8854 O
1.6440 0.9492 6.8466 O
1.6440 0.9492 10.7514 O
```

Values from the calculation:
Its symmetry is No. 194. The formation energy (no corrections) is -13.68 eV per formula unit. For the volume, the calculation gives 109.8 Å³/cell. Its raw total energy is -7.875 eV per atom.

***

Entry 15:
Density functional theory data (PBEsol) for a relaxed structure of Zr2MnAu.

Cell and atoms, written as POSCAR:
```
Zr2MnAu
1.0
-1.6230 2.2778 4.8572
1.6230 -2.2778 4.8572
1.6230 2.2778 -4.8572
Zr Mn Au
2 1 1
Cartesian
0.0000 0.0000 0.0000 Zr
0.0000 2.2778 2.1309 Zr
0.0000 0.0000 4.7563 Mn
1.6230 0.0000 2.6415 Au
```

Values from the calculation:
Its symmetry is No. 44. For the volume, the calculation gives 71.8 Å³/cell. Its raw total energy is -8.075 eV per atom.

***

Entry 16:
Density functional theory data (PBEsol) for a relaxed structure of K4BaRu.

Cell and atoms, written as POSCAR:
```
K4BaRu
1.0
0.0000 5.0736 5.0736
5.0736 0.0000 5.0736
5.0736 5.0736 0.0000
K Ba Ru
4 1 1
Cartesian
1.2371 1.2371 1.2371 K
3.8364 3.8364 1.2371 K
3.8364 1.2371 3.8364 K
1.2371 3.8364 3.8364 K
5.0736 5.0736 5.0736 Ba
7.6104 7.6104 7.6104 Ru
```

Values from the calculation:
Its symmetry is No. 216. For the volume, the calculation gives 261.2 Å³/cell. Its raw total energy is -1.769 eV per atom.

***

Entry 17:
Density functional theory data (PBEsol) for a relaxed structure of CaCdMo.

Cell and atoms, written as POSCAR:
```
CaCdMo
1.0
-1.4278 1.4278 7.3067
1.4278 -1.4278 7.3067
1.4278 1.4278 -7.3067
Ca Cd Mo
1 1 1
Cartesian
0.0000 0.0000 0.0000 Ca
0.0000 0.0000 9.9472 Cd
0.0000 0.0000 4.8494 Mo
```

Values from the calculation:
Its symmetry is No. 107. For the volume, the calculation gives 59.6 Å³/cell. Its raw total energy is -4.557 eV per atom.

***

Entry 18:
Density functional theory data (PBEsol) for a relaxed structure of Hf2Ti2Pb.

Cell and atoms, written as POSCAR:
```
Hf2Ti2Pb
1.0
7.1878 0.0000 0.0000
0.0000 7.1878 0.0000
0.0000 0.0000 3.8615
Hf Ti Pb
4 4 2
Cartesian
1.1919 2.4020 0.0000 Hf
2.4020 5.9959 0.0000 Hf
4.7857 1.1919 0.0000 Hf
5.9959 4.7857 0.0000 Hf
0.9276 4.5215 1.9308 Ti
2.6663 0.9276 1.9308 Ti
4.5215 6.2602 1.9308 Ti
6.2602 2.6663 1.9308 Ti
0.0000 0.0000 1.9308 Pb
3.5939 3.5939 1.9308 Pb
```

Values from the calculation:
Its symmetry is No. 127. For the volume, the calculation gives 199.5 Å³/cell. Its raw total energy is -8.306 eV per atom.

***

Entry 19:
Density functional theory data (PBEsol) for a relaxed structure of SrTaTe2.

Cell and atoms, written as POSCAR:
```
SrTaTe2
1.0
3.4736 0.0000 0.0000
0.0000 3.4736 0.0000
0.0000 0.0000 9.4761
Sr Ta Te
1 1 2
Cartesian
0.0000 0.0000 0.0000 Sr
1.7368 1.7368 2.5969 Ta
0.0000 0.0000 3.9091 Te
1.7368 1.7368 7.1294 Te
```

Values from the calculation:
Its symmetry is No. 99. The formation energy (no corrections) is -0.30 eV per formula unit. For the volume, the calculation gives 114.3 Å³/cell. Its raw total energy is -5.437 eV per atom.

***

Entry 20:
Density functional theory data (PBEsol) for a relaxed structure of Cd5Au3.

Cell and atoms, written as POSCAR:
```
Cd5Au3
1.0
8.0527 0.0000 0.0000
-4.0263 6.9738 0.0000
0.0000 0.0000 5.5408
Cd Au
10 6
Cartesian
-0.9476 1.6412 1.3852 Cd
-3.0788 5.3326 4.1556 Cd
1.8951 0.0000 1.3852 Cd
0.9476 1.6412 4.1556 Cd
0.0000 4.6492 0.0000 Cd
0.0000 4.6492 2.7704 Cd
4.0263 2.3246 0.0000 Cd
4.0263 2.3246 2.7704 Cd
6.1575 0.0000 4.1556 Cd
3.0788 5.3326 1.3852 Cd
-1.5865 2.7479 4.1556 Au
-2.4398 4.2259 1.3852 Au
3.1730 0.0000 4.1556 Au
1.5865 2.7479 1.3852 Au
4.8796 0.0000 1.3852 Au
2.4398 4.2259 4.1556 Au
```

Values from the calculation:
Its symmetry is No. 193. For the volume, the calculation gives 311.2 Å³/cell. Its raw total energy is -2.368 eV per atom.